Material: NiMoPt2
Method: DFT, PBE
State: optimized geometry

Unit cell a=9.0828 b=9.0828 c=9.0828 alpha=17.41 beta=17.41 gamma=17.41
Site moments in Bohr magnetons follow the coordinates.
Fractional coordinates of all 4 atoms:
Pt  0.0050  0.0050  0.0050  0.02
Pt  0.2474  0.2474  0.2474  0.04
Mo  0.4958  0.4958  0.4958  0.03
Ni  0.7518  0.7518  0.7518  0.36

DOS(E_F): 4.0 states/eV/f.u.
distance to the lowest polymorph of the same formula: 185 meV per atom
E: -29.1 eV/cell
energy of formation from the pure elements: -0.11 eV/atom

Material: BaCo2Tc
Method: DFT, PBE
State: optimized geometry

Unit cell a=3.8485 b=3.5519 c=6.3121 alpha=79.72 beta=90.00 gamma=90.00
Site moments in Bohr magnetons follow the coordinates.
Fractional coordinates of all 4 atoms:
Ba  0.5000  0.7115  0.7830  -0.01
Co  0.0000  0.1010  0.0917  0.46
Co  0.5000  0.1523  0.3069  -0.13
Tc  0.0000  0.5352  0.3184  0.10

DOS(E_F): 5.6 states/eV/f.u.
distance to the lowest polymorph of the same formula: 335 meV per atom
E: -23.8 eV/cell
energy of formation from the pure elements: 0.69 eV/atom

Material: LiMgBi2
Method: DFT, PBE
State: optimized geometry

Unit cell a=4.6523 b=4.6523 c=6.6109 alpha=69.40 beta=69.40 gamma=60.00
Fractional coordinates of all 4 atoms:
Mg  0.6706  0.6706  0.9881
Bi  0.0837  0.0837  0.7489
Bi  0.2506  0.2506  0.2482
Li  0.4951  0.4951  0.5148

DOS(E_F): 1.8 states/eV/f.u.
E: -12.1 eV/cell
energy of formation from the pure elements: -0.21 eV/atom

Material: SmTh3
Method: DFT, PBE
State: optimized geometry

Unit cell a=3.5899 b=6.2074 c=6.1831 alpha=80.10 beta=90.00 gamma=106.81
Fractional coordinates of all 4 atoms:
Th  0.7510  0.5021  0.7486
Th  0.2490  0.4979  0.2514
Th  0.5000  0.0000  0.5000
Sm  0.0000  0.0000  0.0000

DOS(E_F): 6.1 states/eV/f.u.
distance to the lowest polymorph of the same formula: 0 meV per atom
E: -26.8 eV/cell
energy of formation from the pure elements: 0.05 eV/atom

Material: Cs2Li2PbO4
Method: DFT, PBE
State: optimized geometry

Unit cell a=3.5710 b=6.8982 c=6.6496 alpha=107.90 beta=105.58 gamma=90.00
Fractional coordinates of all 9 atoms:
Li  0.6787  0.9906  0.3573
Li  0.3213  0.0094  0.6427
O  0.1831  0.1134  0.3663
O  0.4798  0.2024  0.9596
O  0.8169  0.8866  0.6337
O  0.5202  0.7976  0.0404
Cs  0.8571  0.4253  0.7141
Cs  0.1429  0.5747  0.2859
Pb  0.0000  0.0000  0.0000

DOS(E_F): 0.0 states/eV/f.u.
raw formation energy: -1371 meV/atom
E: -41.4 eV/cell

Material: Li2La2Au
Method: DFT, PBE
State: optimized geometry

Unit cell a=7.7665 b=7.7665 c=5.2236 alpha=90.00 beta=90.00 gamma=90.00
Fractional coordinates of all 10 atoms:
Li  0.3525  0.1475  0.5000
Li  0.1475  0.6475  0.5000
Li  0.6475  0.8525  0.5000
Li  0.8525  0.3525  0.5000
La  0.6492  0.1492  0.0000
La  0.1492  0.3508  0.0000
La  0.8508  0.6492  0.0000
La  0.3508  0.8508  0.0000
Au  0.0000  0.0000  0.0000
Au  0.5000  0.5000  0.0000

DOS(E_F): 5.0 states/eV/f.u.
distance to the lowest polymorph of the same formula: 310 meV per atom
E: -33.5 eV/cell
energy of formation from the pure elements: 0.04 eV/atom